Record 1
Computed, not measured: a PBEsol-optimized structure of CsGa2Ru at the meta-GGA SCAN level of DFT.

a = 4.9604 Å, b = 4.9604 Å, c = 4.9604 Å
α = 60.00°, β = 60.00°, γ = 60.00°
Last column: nearest neighbours and their distance in Å.
Element x y z (fractional)
Cs 0.5000 0.5000 0.5000  8 Ga 3.04
Ru 0.0000 0.0000 0.0000  8 Ga 3.04
Ga 0.2500 0.2500 0.2500  4 Ru 3.04, 4 Cs 3.04
Ga 0.7500 0.7500 0.7500  4 Cs 3.04, 4 Ru 3.04

Results
E_form = 1.1157 eV/atom
Magnetization = 1.1 Bohr magnetons per cell



Record 2
Computed, not measured: a PBEsol-optimized structure of CsGa3S5 at the meta-GGA SCAN level of DFT.

a = 6.8970 Å, b = 10.6720 Å, c = 12.6999 Å
α = 90.00°, β = 90.00°, γ = 90.94°
Last column: nearest neighbours and their distance in Å.
Element x y z (fractional)
Ga 0.4854 0.6671 0.3002  4 S 2.26-2.35
S 0.3690 0.6807 0.4662  2 Ga 2.22-2.26
S 0.0043 0.1424 0.7074  3 Ga 2.28-2.35
S 0.2533 0.1652 0.1911  2 Ga 2.22-2.23
S 0.7876 0.0466 0.0505  3 Ga 2.31-2.35
Ga 0.2646 0.9840 0.2760  4 S 2.22-2.31
Ga 0.9854 0.6671 0.1998  4 S 2.26-2.35
S 0.4957 0.8576 0.2074  3 Ga 2.28-2.35
Ga 0.8963 0.8700 0.9623  4 S 2.22-2.35
Ga 0.3963 0.8700 0.5377  4 S 2.22-2.35
S 0.2467 0.8348 0.6911  2 Ga 2.22-2.23
S 0.2675 0.5619 0.1985  2 Ga 2.26-2.27
Ga 0.2354 0.0160 0.7760  4 S 2.22-2.31
S 0.7675 0.5619 0.3015  2 Ga 2.26-2.27
S 0.2325 0.4381 0.6985  2 Ga 2.26-2.27
S 0.7124 0.9534 0.5505  3 Ga 2.31-2.35
S 0.5043 0.1424 0.7926  3 Ga 2.28-2.35
S 0.1310 0.3193 0.9662  2 Ga 2.22-2.26
Cs 0.6357 0.3615 0.0828  9 S 3.56-3.80
Cs 0.8643 0.6385 0.5828  9 S 3.56-3.80
Ga 0.1037 0.1300 0.0377  4 S 2.22-2.35
Ga 0.0146 0.3329 0.8002  4 S 2.26-2.35
S 0.8690 0.6807 0.0338  2 Ga 2.22-2.26
Cs 0.3643 0.6385 0.9172  9 S 3.56-3.80
Cs 0.1357 0.3615 0.4172  9 S 3.56-3.80
Ga 0.5146 0.3329 0.6998  4 S 2.26-2.35
S 0.7325 0.4381 0.8015  2 Ga 2.26-2.27
S 0.2124 0.9534 0.9495  3 Ga 2.31-2.35
Ga 0.7354 0.0160 0.7240  4 S 2.22-2.31
S 0.7533 0.1652 0.3089  2 Ga 2.22-2.23
S 0.9957 0.8576 0.2926  3 Ga 2.28-2.35
S 0.7467 0.8348 0.8089  2 Ga 2.22-2.23
S 0.6310 0.3193 0.5338  2 Ga 2.22-2.26
S 0.2876 0.0466 0.4495  3 Ga 2.31-2.35
Ga 0.6037 0.1300 0.4623  4 S 2.22-2.35
Ga 0.7646 0.9840 0.2240  4 S 2.22-2.31

Results
Formation energy (no corrections) = -1.01 eV/atom
Magnetization = 0.0 Bohr magnetons per cell



Record 3
Computed, not measured: a PBEsol-optimized structure of CsGaS3 at the meta-GGA SCAN level of DFT.

a = 6.4059 Å, b = 7.5305 Å, c = 12.3486 Å
α = 90.00°, β = 90.00°, γ = 108.27°
Last column: nearest neighbours and their distance in Å.
Element x y z (fractional)
S 0.8582 0.5516 0.1730  1 S 2.09, 1 Ga 2.30
S 0.1898 0.9829 0.3270  2 Ga 2.25-2.28
Ga 0.3523 0.8084 0.2277  4 S 2.25-2.30
S 0.3582 0.5516 0.3270  1 S 2.09, 1 Ga 2.30
Cs 0.2811 0.2524 0.0838  8 S 3.49-3.86
S 0.3645 0.3106 0.5812  1 S 2.09, 1 Ga 2.29
S 0.3102 0.0171 0.8270  2 Ga 2.25-2.28
S 0.6418 0.4484 0.6730  1 S 2.09, 1 Ga 2.30
S 0.6898 0.9829 0.1730  2 Ga 2.25-2.28
Cs 0.7189 0.7476 0.9162  8 S 3.49-3.86
S 0.8102 0.0171 0.6730  2 Ga 2.25-2.28
S 0.6355 0.6894 0.4188  1 S 2.09, 1 Ga 2.29
S 0.1355 0.6894 0.0812  1 S 2.09, 1 Ga 2.29
Cs 0.7811 0.2524 0.4162  8 S 3.49-3.86
Cs 0.2189 0.7476 0.5838  8 S 3.49-3.86
Ga 0.6477 0.1916 0.7723  4 S 2.25-2.30
Ga 0.1477 0.1916 0.7277  4 S 2.25-2.30
S 0.8645 0.3106 0.9188  1 S 2.09, 1 Ga 2.29
S 0.1418 0.4484 0.8270  1 S 2.09, 1 Ga 2.30
Ga 0.8523 0.8084 0.2723  4 S 2.25-2.30

Results
Formation energy (no corrections) = -0.98 eV/atom
Magnetization = 0.0 Bohr magnetons per cell



Record 4
Computed, not measured: a PBEsol-optimized structure of CsGa2Sb2 at the meta-GGA SCAN level of DFT.

a = 4.5969 Å, b = 4.5969 Å, c = 8.2473 Å
α = 106.18°, β = 106.18°, γ = 90.00°
Last column: nearest neighbours and their distance in Å.
Element x y z (fractional)
Sb 0.3524 0.3524 0.7048  4 Ga 2.77
Cs 0.0000 0.0000 0.0000  8 Sb 3.95
Ga 0.2500 0.7500 0.5000  4 Sb 2.77
Sb 0.6476 0.6476 0.2952  4 Ga 2.77
Ga 0.7500 0.2500 0.5000  4 Sb 2.77

Results
Formation energy (no corrections) = -0.33 eV/atom
Magnetization = 0.0 Bohr magnetons per cell



Record 5
Computed, not measured: a PBEsol-optimized structure of Cs5Ga3Se7 at the meta-GGA SCAN level of DFT.

a = 9.6549 Å, b = 11.0797 Å, c = 11.0797 Å
α = 109.59°, β = 105.33°, γ = 74.67°
Last column: nearest neighbours and their distance in Å.
Element x y z (fractional)
Cs 0.0000 0.7152 0.7152  6 Se 3.62-3.76, 2 Ga 3.96
Se 0.8862 0.7113 0.9999  2 Ga 2.43-2.44
Cs 0.7184 0.0213 0.5586  4 Se 3.46-3.72
Se 0.8094 0.0672 0.9328  2 Ga 2.42-2.43
Cs 0.5000 0.1501 0.1501  2 Se 3.38
Cs 0.5000 0.8499 0.8499  2 Se 3.38
Ga 0.9422 0.9284 0.0716  4 Se 2.42-2.43
Cs 0.6948 0.4244 0.5756  5 Se 3.48-3.60, 1 Cs 3.87
Se 0.1906 0.9328 0.0672  2 Ga 2.42-2.43
Se 0.4380 0.2019 0.7981  2 Ga 2.40-2.49
Cs 0.0000 0.2848 0.2848  6 Se 3.62-3.76, 2 Ga 3.96
Ga 0.3380 0.3470 0.6530  4 Se 2.37-2.49
Se 0.1138 0.9999 0.7113  2 Ga 2.43-2.44
Cs 0.2816 0.5586 0.0213  4 Se 3.46-3.72
Se 0.6019 0.7505 0.5567  1 Ga 2.37
Se 0.5620 0.7981 0.2019  2 Ga 2.40-2.49
Ga 0.6620 0.6530 0.3470  4 Se 2.37-2.49
Se 0.0762 0.3534 0.6466  2 Ga 2.40-2.49
Ga 0.8167 0.7864 0.2136  4 Se 2.40-2.44
Cs 0.7184 0.4414 0.9787  4 Se 3.46-3.72
Cs 0.3052 0.5756 0.4244  5 Se 3.48-3.60, 1 Cs 3.87
Se 0.3981 0.5567 0.7505  1 Ga 2.37
Se 0.3981 0.2495 0.4433  1 Ga 2.37
Se 0.9238 0.6466 0.3534  2 Ga 2.40-2.49
Cs 0.2816 0.9787 0.4414  4 Se 3.46-3.72
Ga 0.1833 0.2136 0.7864  4 Se 2.40-2.44
Se 0.1138 0.2887 0.0001  2 Ga 2.43-2.44
Se 0.8862 0.0001 0.2887  2 Ga 2.43-2.44
Ga 0.0578 0.0716 0.9284  4 Se 2.42-2.43
Se 0.6019 0.4433 0.2495  1 Ga 2.37

Results
Formation energy (no corrections) = -1.19 eV/atom
Magnetization = 0.0 Bohr magnetons per cell



Record 6
Computed, not measured: a PBEsol-optimized structure of CsGa3Se at the meta-GGA SCAN level of DFT.

a = 5.5577 Å, b = 5.5577 Å, c = 5.5577 Å
α = 90.00°, β = 90.00°, γ = 90.00°
Last column: nearest neighbours and their distance in Å.
Element x y z (fractional)
Se 0.0000 0.0000 0.0000  6 Ga 2.78
Cs 0.5000 0.5000 0.5000  12 Ga 3.93
Ga 0.5000 0.0000 0.0000  2 Se 2.78
Ga 0.0000 0.0000 0.5000  2 Se 2.78
Ga 0.0000 0.5000 0.0000  2 Se 2.78

Results
Formation energy (no corrections) = 0.30 eV/atom
Magnetization = 0.0 Bohr magnetons per cell



Copy entry 3 word for word.
Computed, not measured: a PBEsol-optimized structure of CsGaS3 at the meta-GGA SCAN level of DFT.

a = 6.4059 Å, b = 7.5305 Å, c = 12.3486 Å
α = 90.00°, β = 90.00°, γ = 108.27°
Last column: nearest neighbours and their distance in Å.
Element x y z (fractional)
S 0.8582 0.5516 0.1730  1 S 2.09, 1 Ga 2.30
S 0.1898 0.9829 0.3270  2 Ga 2.25-2.28
Ga 0.3523 0.8084 0.2277  4 S 2.25-2.30
S 0.3582 0.5516 0.3270  1 S 2.09, 1 Ga 2.30
Cs 0.2811 0.2524 0.0838  8 S 3.49-3.86
S 0.3645 0.3106 0.5812  1 S 2.09, 1 Ga 2.29
S 0.3102 0.0171 0.8270  2 Ga 2.25-2.28
S 0.6418 0.4484 0.6730  1 S 2.09, 1 Ga 2.30
S 0.6898 0.9829 0.1730  2 Ga 2.25-2.28
Cs 0.7189 0.7476 0.9162  8 S 3.49-3.86
S 0.8102 0.0171 0.6730  2 Ga 2.25-2.28
S 0.6355 0.6894 0.4188  1 S 2.09, 1 Ga 2.29
S 0.1355 0.6894 0.0812  1 S 2.09, 1 Ga 2.29
Cs 0.7811 0.2524 0.4162  8 S 3.49-3.86
Cs 0.2189 0.7476 0.5838  8 S 3.49-3.86
Ga 0.6477 0.1916 0.7723  4 S 2.25-2.30
Ga 0.1477 0.1916 0.7277  4 S 2.25-2.30
S 0.8645 0.3106 0.9188  1 S 2.09, 1 Ga 2.29
S 0.1418 0.4484 0.8270  1 S 2.09, 1 Ga 2.30
Ga 0.8523 0.8084 0.2723  4 S 2.25-2.30

Results
Formation energy (no corrections) = -0.98 eV/atom
Magnetization = 0.0 Bohr magnetons per cell